{"formula": "KFeOs2", "functional": "PBE", "state": "optimized geometry", "total_magnetization_mub_per_fu": 2.510, "dos_ef_per_ev_fu": 5.01, "final_energy_ev_per_atom": -7.01, "relative_energy_ev_per_atom": 0.231, "lattice": [[-0.477, 0.453, 2.642], [2.182, -1.518, -0.589], [5.737, 8.406, -0.407]], "species": ["Fe", "K", "Os", "Os"], "fractional_positions": [[0.000, 0.000, 0.458], [0.500, 0.500, 0.750], [0.000, 0.000, 0.036], [0.500, 0.500, 0.256]]}